1.
This record from Alexandria describes AcZnBiO5 after structural relaxation. The functional is PBE.

Cell lengths 6.070, 6.070, 7.779 Å; angles 102.88, 102.88, 109.01 degrees
Element x y z (fractional)
Zn 0.313 0.687 0.750
O 0.915 0.085 0.750
Ac 0.338 0.662 0.250
O 0.085 0.915 0.250
Bi 0.000 0.000 0.000
Bi 0.000 0.000 0.500
O 0.097 0.691 0.905
O 0.632 0.734 0.927
O 0.734 0.632 0.427
O 0.691 0.097 0.405
O 0.266 0.368 0.573
Zn 0.687 0.313 0.250
Ac 0.662 0.338 0.750
O 0.368 0.266 0.073
O 0.309 0.903 0.595
O 0.903 0.309 0.095

Computed properties:
- calculated total energy (eV/atom) = -6.077
- space group = No. 15
- magnetization (μB per atom) = 0.00

2.
This record from Alexandria describes Na3CaBi2O6 after structural relaxation. The functional is PBE.

Cell lengths 6.031, 6.031, 5.998 Å; angles 99.67, 99.67, 119.97 degrees
Element x y z (fractional)
Ca 0.000 0.000 0.000
Na 0.834 0.166 0.500
Bi 0.667 0.333 0.000
O 0.736 0.736 0.224
O 0.264 0.264 0.776
Na 0.500 0.500 0.500
Na 0.166 0.834 0.500
O 0.926 0.587 0.777
O 0.074 0.413 0.223
O 0.587 0.926 0.777
O 0.413 0.074 0.223
Bi 0.333 0.667 0.000

Computed properties:
- calculated total energy (eV/atom) = -5.229
- space group = No. 12
- Fermi-level density of states (states/eV per atom) = 0.59
- magnetization (μB per atom) = 0.00

3.
This record from Alexandria describes AlAgHg after structural relaxation. The functional is PBE.

Cell lengths 4.479, 4.479, 4.479 Å; angles 60.00, 60.00, 60.00 degrees
Element x y z (fractional)
Ag 0.500 0.500 0.500
Hg 0.000 0.000 0.000
Al 0.750 0.750 0.750

Computed properties:
- energy relative to the elements (meV/atom) = 121
- calculated total energy (eV/atom) = -2.178
- space group = No. 216
- Fermi-level density of states (states/eV per atom) = 0.76
- magnetization (μB per atom) = 0.00

4.
This record from Alexandria describes InFeOs2 after structural relaxation. The functional is PBE.

Cell lengths 7.287, 7.287, 5.722 Å; angles 50.45, 50.45, 90.00 degrees
Element x y z (fractional)
In 0.000 0.000 0.000
Os 0.190 0.625 0.250
Os 0.875 0.810 0.750
Fe 0.500 0.500 0.000
Os 0.375 0.440 0.750
In 0.750 0.250 0.500
Os 0.560 0.125 0.250
Fe 0.250 0.750 0.500

Computed properties:
- energy relative to the elements (meV/atom) = 849
- calculated total energy (eV/atom) = -7.566
- space group = No. 122
- Fermi-level density of states (states/eV per atom) = 1.05
- magnetization (μB per atom) = 0.15

5.
This record from Alexandria describes BaSrTl3 after structural relaxation. The functional is PBE.

Cell lengths 6.135, 6.135, 6.135 Å; angles 90.00, 90.00, 90.00 degrees
Element x y z (fractional)
Sr 0.000 0.000 0.000
Ba 0.500 0.500 0.500
Tl 0.000 0.500 0.000
Tl 0.500 0.000 0.000
Tl 0.000 0.000 0.500

Computed properties:
- energy relative to the elements (meV/atom) = 120
- calculated total energy (eV/atom) = -2.021
- space group = No. 221
- Fermi-level density of states (states/eV per atom) = 0.66
- magnetization (μB per atom) = 0.00

6.
This record from Alexandria describes AcNdEr2 after structural relaxation. The functional is PBE.

Cell lengths 3.697, 3.697, 12.045 Å; angles 81.17, 81.17, 60.00 degrees
Element x y z (fractional)
Nd 0.666 0.666 0.001
Ac 0.500 0.500 0.499
Er 0.253 0.253 0.241
Er 0.080 0.080 0.759

Computed properties:
- energy relative to the elements (meV/atom) = 69
- calculated total energy (eV/atom) = -4.431
- space group = No. 160
- Fermi-level density of states (states/eV per atom) = 1.43
- magnetization (μB per atom) = 0.00

7.
This record from Alexandria describes Cr2CdCu after structural relaxation. The functional is PBE.

Cell lengths 3.730, 3.829, 4.282 Å; angles 90.00, 90.00, 90.00 degrees
Element x y z (fractional)
Cr 0.500 0.500 0.000
Cd 0.000 0.500 0.500
Cu 0.500 0.000 0.500
Cr 0.000 0.000 0.000

Computed properties:
- energy relative to the elements (meV/atom) = 368
- calculated total energy (eV/atom) = -5.697
- space group = No. 47
- Fermi-level density of states (states/eV per atom) = 0.81
- magnetization (μB per atom) = 0.01

8.
This record from Alexandria describes La3SmTh2 after structural relaxation. The functional is PBE.

Cell lengths 7.664, 7.664, 7.664 Å; angles 101.77, 101.77, 101.77 degrees
Element x y z (fractional)
La 0.166 0.166 0.668
La 0.332 0.834 0.834
Th 0.500 0.000 0.500
La 0.834 0.332 0.834
Th 0.000 0.000 0.000
Th 0.000 0.500 0.500
La 0.668 0.166 0.166
Sm 0.335 0.335 0.335
Th 0.500 0.500 0.000
La 0.166 0.668 0.166
Sm 0.665 0.665 0.665
La 0.834 0.834 0.332

Computed properties:
- energy relative to the elements (meV/atom) = 395
- calculated total energy (eV/atom) = -5.328
- space group = No. 166
- Fermi-level density of states (states/eV per atom) = 2.21
- magnetization (μB per atom) = 0.00

9.
This record from Alexandria describes Tb6TeSe5 after structural relaxation. The functional is PBE.

Cell lengths 7.187, 7.174, 7.186 Å; angles 60.06, 80.36, 70.39 degrees
Element x y z (fractional)
Te 0.000 0.000 0.000
Tb 0.270 0.911 0.652
Se 0.000 0.668 0.663
Tb 0.270 0.563 0.348
Tb 0.730 0.089 0.348
Tb 0.739 0.738 0.000
Se 0.500 0.500 0.000
Se 0.000 0.332 0.337
Se 0.500 0.841 0.317
Se 0.500 0.159 0.683
Tb 0.730 0.437 0.652
Tb 0.261 0.262 0.000

Computed properties:
- calculated total energy (eV/atom) = -5.718
- space group = No. 12
- Fermi-level density of states (states/eV per atom) = 0.43
- magnetization (μB per atom) = 0.00

10.
This record from Alexandria describes TlPWCl2 after structural relaxation. The functional is PBE.

Cell lengths 5.031, 5.031, 4.733 Å; angles 90.00, 90.00, 90.00 degrees
Element x y z (fractional)
P 0.000 0.000 0.500
Tl 0.500 0.500 0.500
Cl 0.500 0.000 0.000
W 0.000 0.000 0.000
Cl 0.000 0.500 0.000

Computed properties:
- calculated total energy (eV/atom) = -4.939
- space group = No. 123
- Fermi-level density of states (states/eV per atom) = 0.60
- magnetization (μB per atom) = 0.24

11.
This record from Alexandria describes TbSmGaGe after structural relaxation. The functional is PBE.

Cell lengths 4.382, 4.047, 5.906 Å; angles 90.00, 111.78, 90.00 degrees
Element x y z (fractional)
Ga 0.577 0.500 0.154
Ge 0.422 0.000 0.843
Sm 0.141 0.000 0.281
Tb 0.861 0.500 0.722

Computed properties:
- energy relative to the elements (meV/atom) = -783
- calculated total energy (eV/atom) = -5.032
- space group = No. 38
- Fermi-level density of states (states/eV per atom) = 0.86
- magnetization (μB per atom) = 0.00

12.
This record from Alexandria describes Tb3Sm after structural relaxation. The functional is PBE.

Cell lengths 5.058, 5.058, 5.058 Å; angles 90.00, 90.00, 90.00 degrees
Element x y z (fractional)
Tb 0.500 0.000 0.500
Tb 0.500 0.500 0.000
Tb 0.000 0.500 0.500
Sm 0.000 0.000 0.000

Computed properties:
- energy relative to the elements (meV/atom) = 18
- calculated total energy (eV/atom) = -4.634
- space group = No. 221
- Fermi-level density of states (states/eV per atom) = 1.54
- magnetization (μB per atom) = 0.00

13.
This record from Alexandria describes MnPtS4 after structural relaxation. The functional is PBE.

Cell lengths 3.484, 5.995, 7.086 Å; angles 116.57, 104.23, 90.00 degrees
Element x y z (fractional)
S 0.895 0.217 0.789
Pt 0.500 0.500 0.000
Mn 0.000 0.000 0.000
S 0.395 0.728 0.790
S 0.105 0.783 0.211
S 0.605 0.272 0.210

Computed properties:
- calculated total energy (eV/atom) = -5.703
- space group = No. 12
- magnetization (μB per atom) = 0.50

14.
This record from Alexandria describes Pr6P4Cl after structural relaxation. The functional is PBE.

Cell lengths 4.161, 7.262, 21.257 Å; angles 90.00, 90.00, 106.64 degrees
Element x y z (fractional)
Pr 0.777 0.553 0.423
Pr 0.500 0.000 0.000
Pr 0.223 0.447 0.923
P 0.407 0.814 0.126
Pr 0.035 0.071 0.160
P 0.864 0.727 0.545
Pr 0.500 0.000 0.500
P 0.407 0.814 0.374
Pr 0.777 0.553 0.077
Pr 0.965 0.929 0.660
P 0.593 0.186 0.874
Pr 0.673 0.345 0.750
Pr 0.327 0.655 0.250
Pr 0.965 0.929 0.840
Cl 0.659 0.319 0.250
Cl 0.341 0.681 0.750
Pr 0.035 0.071 0.340
Pr 0.223 0.447 0.577
P 0.593 0.186 0.626
P 0.136 0.273 0.455
P 0.864 0.727 0.955
P 0.136 0.273 0.045

Computed properties:
- calculated total energy (eV/atom) = -6.085
- space group = No. 63
- Fermi-level density of states (states/eV per atom) = 0.55
- magnetization (μB per atom) = 0.07

15.
This record from Alexandria describes TaV3Si after structural relaxation. The functional is PBE.

Cell lengths 4.577, 4.577, 4.577 Å; angles 90.00, 90.00, 90.00 degrees
Element x y z (fractional)
Si 0.500 0.500 0.500
V 0.000 0.000 0.500
Ta 0.000 0.000 0.000
V 0.000 0.500 0.000
V 0.500 0.000 0.000

Computed properties:
- calculated total energy (eV/atom) = -7.352
- space group = No. 221
- Fermi-level density of states (states/eV per atom) = 1.10
- magnetization (μB per atom) = 0.00

16.
This record from Alexandria describes PrGdPdRh after structural relaxation. The functional is PBE.

Cell lengths 5.029, 5.029, 5.029 Å; angles 60.00, 60.00, 60.00 degrees
Element x y z (fractional)
Rh 0.500 0.500 0.500
Pr 0.750 0.750 0.750
Gd 0.250 0.250 0.250
Pd 0.000 0.000 0.000

Computed properties:
- energy relative to the elements (meV/atom) = -733
- calculated total energy (eV/atom) = -8.585
- space group = No. 216
- Fermi-level density of states (states/eV per atom) = 0.71
- magnetization (μB per atom) = 1.77

17.
This record from Alexandria describes YAgTe2 after structural relaxation. The functional is PBE.

Cell lengths 3.882, 3.882, 6.998 Å; angles 90.00, 90.00, 90.00 degrees
Element x y z (fractional)
Te 0.000 0.000 0.494
Ag 0.500 0.500 0.750
Te 0.000 0.000 0.006
Y 0.500 0.500 0.250

Computed properties:
- calculated total energy (eV/atom) = -4.515
- space group = No. 123
- Fermi-level density of states (states/eV per atom) = 0.50
- magnetization (μB per atom) = 0.00

18.
This record from Alexandria describes Dy4Al16Os3 after structural relaxation. The functional is PBE.

Cell lengths 6.139, 6.139, 11.316 Å; angles 90.00, 90.00, 90.00 degrees
Element x y z (fractional)
Al 0.752 0.248 0.382
Os 0.500 0.000 0.500
Al 0.283 0.283 0.000
Al 0.717 0.283 0.000
Al 0.752 0.248 0.618
Al 0.000 0.000 0.218
Al 0.000 0.000 0.782
Dy 0.000 0.500 0.810
Al 0.248 0.752 0.618
Dy 0.500 0.000 0.810
Os 0.000 0.500 0.500
Dy 0.500 0.000 0.190
Al 0.248 0.248 0.618
Al 0.752 0.752 0.618
Al 0.752 0.752 0.382
Al 0.500 0.500 0.806
Al 0.248 0.248 0.382
Al 0.500 0.500 0.194
Al 0.248 0.752 0.382
Al 0.717 0.717 0.000
Dy 0.000 0.500 0.190
Os 0.000 0.000 0.000
Al 0.283 0.717 0.000

Computed properties:
- energy relative to the elements (meV/atom) = -484
- calculated total energy (eV/atom) = -5.352
- space group = No. 123
- Fermi-level density of states (states/eV per atom) = 0.46
- magnetization (μB per atom) = 0.00

19.
This record from Alexandria describes Ho3Zn2Ru3C after structural relaxation. The functional is PBE.

Cell lengths 3.335, 7.275, 7.275 Å; angles 120.00, 90.00, 90.00 degrees
Element x y z (fractional)
Ho 0.000 0.000 0.363
Ru 0.500 0.000 0.777
Ru 0.500 0.777 0.000
Zn 0.500 0.333 0.667
Ho 0.000 0.363 0.000
C 0.000 0.000 0.000
Zn 0.500 0.667 0.333
Ru 0.500 0.223 0.223
Ho 0.000 0.637 0.637

Computed properties:
- energy relative to the elements (meV/atom) = -179
- calculated total energy (eV/atom) = -6.105
- space group = No. 189
- Fermi-level density of states (states/eV per atom) = 0.67
- magnetization (μB per atom) = 0.00

20.
This record from Alexandria describes Nd5Dy3Tl2 after structural relaxation. The functional is PBE.

Cell lengths 6.611, 10.689, 10.689 Å; angles 92.19, 71.99, 71.99 degrees
Element x y z (fractional)
Dy 0.389 0.338 0.883
Tl 0.877 0.266 0.980
Nd 0.377 0.787 0.459
Dy 0.611 0.662 0.117
Dy 0.111 0.117 0.662
Nd 0.623 0.213 0.541
Nd 0.999 0.751 0.751
Nd 0.499 0.751 0.751
Nd 0.501 0.249 0.249
Dy 0.250 0.000 0.000
Tl 0.123 0.734 0.020
Nd 0.001 0.249 0.249
Nd 0.123 0.541 0.213
Nd 0.750 0.500 0.500
Dy 0.889 0.883 0.338
Tl 0.623 0.020 0.734
Nd 0.250 0.500 0.500
Tl 0.377 0.980 0.266
Dy 0.750 0.000 0.000
Nd 0.877 0.459 0.787

Computed properties:
- energy relative to the elements (meV/atom) = 151
- calculated total energy (eV/atom) = -4.087
- space group = No. 72
- Fermi-level density of states (states/eV per atom) = 1.24
- magnetization (μB per atom) = 0.00